# 1
First-principles (PBE-GGA) data for a relaxed structure of H2Pb2I3, as listed in Alexandria via LeMat-Bulk.

Structure (POSCAR):
```
H2Pb2I3
1.0
-3.316 -1.077 3.003
4.260 -0.993 7.864
-2.469 6.895 -0.246
I H Pb
3 2 2
Cartesian
-1.003 4.306 3.972
-0.522 0.519 6.650
-1.658 -0.538 1.501
-4.455 2.689 3.098
2.930 2.136 7.523
2.569 -0.064 6.332
-4.094 4.889 4.289
```

## Properties
As for the space-group type: P-1.

***

# 2
First-principles (PBE-GGA) data for a relaxed structure of Ti2TcHRh, as listed in Alexandria via LeMat-Bulk.

Structure (POSCAR):
```
Ti2TcHRh
1.0
4.311 0.000 0.000
0.000 4.311 0.000
0.000 0.000 3.391
Ti H Rh Tc
2 1 1 1
Cartesian
0.000 2.155 0.000
2.155 0.000 0.000
0.000 0.000 0.000
0.000 0.000 1.695
2.155 2.155 1.695
```

## Properties
The value obtained for the excess energy over the best structure of this formula in the dataset is 0 meV/atom. As for the space-group type: P4/mmm.

***

| no. | total DFT energy (no corrections) (eV per atom) |
| --- | --- |
| 1 | -2.9300 |
| 2 | -7.8778 |